! ZnGa3Ir2 PBE relaxed; values from VASP
! E_form   -25 kJ per mole of atoms
! Energy   -29.7 eV per formula unit
! Calculated volume   203.7 Å³/cell
! SG   Ibam, No. 72
&SYSTEM
  ibrav = 0, nat = 12, ntyp = 3
/
ATOMIC_SPECIES
Zn 65.41 Zn.upf
Ga 69.72 Ga.upf
Ir 192.22 Ir.upf
ATOMIC_POSITIONS crystal
Zn 0.0000 0.5000 0.0000
Ga 0.5000 0.7500 0.0000
Zn 0.0000 0.0000 0.0000
Ga 0.7966 0.5466 0.5932
Ga 0.2034 0.4534 0.4068
Ga 0.2034 0.9534 0.4068
Ir 0.7966 0.1428 0.2856
Ga 0.7966 0.0466 0.5932
Ir 0.5110 0.3572 0.7144
Ga 0.5000 0.2500 0.0000
Ir 0.2034 0.8572 0.7144
Ir 0.4890 0.6428 0.2856
CELL_PARAMETERS angstrom
5.1275 0.0000 0.0000
0.0000 6.0604 0.0000
-2.5638 -3.0302 6.5553